No. 1
Below is a relaxed structure of AgSbW2, with properties calculated at the PBE level.

Calculated values
N(E_F) = 0.7885 states/eV per atom
raw formation energy = 3.45 eV/f.u.
space group = Cmmm (65)

a b c (Å): 5.1734 5.1734 2.9047
angles (deg): 90.00 90.00 114.49
Closest atoms and distances in Å follow each position.
Element x y z (fractional)
Ag 0.0000 0.0000 0.0000  2 Sb 2.80, 2 Ag 2.90, 8 W 2.97
Sb 0.5000 0.5000 0.0000  2 Ag 2.80, 2 Sb 2.90, 8 W 2.97
W 0.0000 0.5000 0.5000  4 W 2.80-2.90, 4 Sb 2.97, 4 Ag 2.97
W 0.5000 0.0000 0.5000  4 W 2.80-2.90, 4 Sb 2.97, 4 Ag 2.97

No. 2
Below is a relaxed structure of Sm2SnPt6, with properties calculated at the PBE level.

Calculated values
formation energy = -0.884 eV/atom
N(E_F) = 0.4698 states/eV per atom
space group = C2/m (12)

a b c (Å): 5.6973 5.6973 6.4604
angles (deg): 101.67 101.67 60.50
Closest atoms and distances in Å follow each position.
Element x y z (fractional)
Sm 0.1432 0.1432 0.3484  9 Pt 3.04-3.36
Sm 0.8568 0.8568 0.6516  9 Pt 3.04-3.36
Sn 0.5000 0.5000 0.5000  6 Pt 2.61-2.65
Pt 0.1010 0.6256 0.1802  1 Sn 2.65, 5 Pt 2.73-2.96
Pt 0.3744 0.8990 0.8198  1 Sn 2.65, 5 Pt 2.73-2.96
Pt 0.3780 0.3780 0.8184  1 Sn 2.61, 4 Pt 2.74-2.81
Pt 0.6220 0.6220 0.1816  1 Sn 2.61, 4 Pt 2.74-2.81
Pt 0.6256 0.1010 0.1802  1 Sn 2.65, 5 Pt 2.73-2.96
Pt 0.8990 0.3744 0.8198  1 Sn 2.65, 5 Pt 2.73-2.96

No. 3
Below is a relaxed structure of ReMoAu2, with properties calculated at the PBE level.

Calculated values
formation energy = 0.319 eV/atom
N(E_F) = 1.0308 states/eV per atom
space group = Pmm2 (25)

a b c (Å): 2.7956 4.0549 5.8309
angles (deg): 90.00 90.00 90.00
Closest atoms and distances in Å follow each position.
Element x y z (fractional)
Re 0.0000 0.0000 0.0000  4 Mo 2.75, 6 Au 2.80-3.04, 2 Re 2.80
Mo 0.5000 0.5000 0.7884  4 Re 2.75, 6 Au 2.78-3.05, 2 Mo 2.80
Au 0.0000 0.0000 0.5206  2 Re 2.80-3.04, 6 Au 2.80-2.88, 4 Mo 2.92
Au 0.5000 0.5000 0.2649  2 Mo 2.78-3.05, 6 Au 2.80-2.88, 4 Re 2.91